Below is an optimized crystal structure of YTc2Ir, with properties calculated at the PBE level.

Energy (eV/atom): -8.898
DOS at the Fermi energy (states/eV/f.u.): 4.91
Energy relative to the lowest polymorph listed for this composition (meV per atom): 131
Density (g cm⁻³): 11.429
Calculated formation energy (eV/atom): 0.12

a b c (Å): 3.104 4.767 9.369
angles (deg): 90.00 90.00 90.00
Space group Imm2 (No. 44)
Asymmetric unit:
Y (0.000, 0.000, 0.000)
Tc (0.000, 0.000, 0.508)
Tc (0.000, 0.500, 0.221)
Ir (0.000, 0.500, 0.775)

Below is an optimized crystal structure of YTc2Ir, with properties calculated at the PBE level.

Energy (eV/atom): -8.893
DOS at the Fermi energy (states/eV/f.u.): 3.51
Energy relative to the lowest polymorph listed for this composition (meV per atom): 135
Density (g cm⁻³): 11.536
Calculated formation energy (eV/atom): 0.12

a b c (Å): 6.501 6.501 6.501
angles (deg): 90.00 90.00 90.00
Space group F-43m (No. 216)
Asymmetric unit:
Y (0.000, 0.000, 0.000)
Tc (0.000, 0.000, 0.500)
Tc (0.250, 0.250, 0.250)
Ir (0.250, 0.250, 0.750)

no.,volume (Å³/cell)
1,138.65
2,274.72